Record 1
Below is crystalline ZrZnTeAu2 at its relaxed geometry, with properties calculated at the GGA-PBE level.

Distance to the lowest polymorph of the same formula ... 0.0 meV per atom
Total moment ... 0.000 μB/atom
Raw formation energy ... 0.2647 eV/atom
E_tot ... -18.19 eV for the cell shown

CIF file:
```
data_ZrZnTeAu2
_cell_length_a 4.761
_cell_length_b 4.761
_cell_length_c 5.196
_cell_angle_alpha 90.00
_cell_angle_beta 90.00
_cell_angle_gamma 90.00
_space_group_name_H-M_alt 'P 4/m m m'
_space_group_IT_number 123
_space_group_name_Hall '-P 4 2'
loop_
_atom_site_label
_atom_site_type_symbol
_atom_site_fract_x
_atom_site_fract_y
_atom_site_fract_z
Zr1 Zr 0.000 0.000 0.000
Zn1 Zn 0.000 0.000 0.500
Te1 Te 0.500 0.500 0.000
Au1 Au 0.000 0.500 0.500
```

***

Record 2
Below is crystalline ZrTe2Au at its relaxed geometry, with properties calculated at the GGA-PBE level.

Distance to the lowest polymorph of the same formula ... 86.3 meV per atom
Total moment ... 0.000 μB/atom
Raw formation energy ... -0.5147 eV/atom
E_tot ... -60.50 eV for the cell shown

CIF file:
```
data_ZrTe2Au
_cell_length_a 4.2842
_cell_length_b 4.2842
_cell_length_c 22.1277
_cell_angle_alpha 90.00
_cell_angle_beta 90.00
_cell_angle_gamma 120.00
_space_group_name_H-M_alt 'R 3 m'
_space_group_IT_number 160
_space_group_name_Hall 'R 3 -2"'
loop_
_atom_site_label
_atom_site_type_symbol
_atom_site_fract_x
_atom_site_fract_y
_atom_site_fract_z
Zr1 Zr 0.0000 0.0000 0.0000
Te1 Te 0.0000 0.0000 0.5511
Te2 Te 0.0000 0.0000 0.7406
Au1 Au 0.0000 0.0000 0.2719
```

***

Record 3
Below is crystalline ZrTe2Au2 at its relaxed geometry, with properties calculated at the GGA-PBE level.

Distance to the lowest polymorph of the same formula ... 152.6 meV per atom
Total moment ... 0.000 μB/atom
Raw formation energy ... -0.0667 eV/atom
E_tot ... -43.44 eV for the cell shown

CIF file:
```
data_ZrTe2Au2
_cell_length_a 7.703
_cell_length_b 7.703
_cell_length_c 3.984
_cell_angle_alpha 90.00
_cell_angle_beta 90.00
_cell_angle_gamma 90.00
_space_group_name_H-M_alt 'P 4/m b m'
_space_group_IT_number 127
_space_group_name_Hall '-P 4 2ab'
loop_
_atom_site_label
_atom_site_type_symbol
_atom_site_fract_x
_atom_site_fract_y
_atom_site_fract_z
Zr1 Zr 0.000 0.000 0.000
Te1 Te 0.167 0.333 0.000
Au1 Au 0.142 0.642 0.500
```

***

Record 4
Below is crystalline ZrTe2Au at its relaxed geometry, with properties calculated at the GGA-PBE level.

Distance to the lowest polymorph of the same formula ... 282.3 meV per atom
Total moment ... 0.000 μB/atom
Raw formation energy ... -0.3187 eV/atom
E_tot ... -38.77 eV for the cell shown

CIF file:
```
data_ZrTe2Au
_cell_length_a 4.361
_cell_length_b 5.105
_cell_length_c 9.613
_cell_angle_alpha 90.00
_cell_angle_beta 90.00
_cell_angle_gamma 90.00
_space_group_name_H-M_alt 'C m m 2'
_space_group_IT_number 35
loop_
_space_group_symop_operation_xyz
'x,y,z'
'-x,-y,z'
'-x,y,z'
'x,-y,z'
'x+1/2,y+1/2,z'
'-x+1/2,-y+1/2,z'
'-x+1/2,y+1/2,z'
'x+1/2,-y+1/2,z'
loop_
_atom_site_label
_atom_site_type_symbol
_atom_site_fract_x
_atom_site_fract_y
_atom_site_fract_z
Zr1 Zr 0.000 0.000 0.000
Te1 Te 0.000 0.000 0.403
Te2 Te 0.000 0.500 0.790
Au1 Au 0.000 0.500 0.185
```